1.
! PBE-GGA SrWBr, relaxed; values from VASP
&SYSTEM
  ibrav = 0, nat = 3, ntyp = 3
/
ATOMIC_SPECIES
Sr 87.62 Sr.upf
W 183.84 W.upf
Br 79.90 Br.upf
CELL_PARAMETERS angstrom
4.868 0.000 0.000
-2.434 4.215 0.000
0.000 0.000 3.808
ATOMIC_POSITIONS angstrom
Sr 0.000 0.000 0.000
W 2.434 1.405 1.904
Br 0.000 2.810 1.904
! SG   P-6m2 (187)
! N(E_F)   3.9 states/eV/cell
! Density   7.47 Mg/m³
! Uncorrected formation energy   0.965 eV per atom


2.
! PBE-GGA NbFe, relaxed; values from VASP
&SYSTEM
  ibrav = 0, nat = 4, ntyp = 2
/
ATOMIC_SPECIES
Nb 92.91 Nb.upf
Fe 55.84 Fe.upf
CELL_PARAMETERS angstrom
4.138 0.000 0.000
-2.069 3.584 0.000
0.000 0.000 4.954
ATOMIC_POSITIONS angstrom
Nb 0.000 2.389 1.239
Nb 2.069 1.195 3.716
Fe 0.000 2.389 3.716
Fe 2.069 1.195 1.239
! SG   P6_3/mmc (194)
! N(E_F)   3.7 states/eV/cell
! Density   6.72 Mg/m³
! DFT formation energy   0.84 eV/atom